#w
{"formula": "Tb4Pm2Sc", "functional": "PBE", "state": "relaxed", "sg": "I4/mmm", "dos_ef_per_ev_fu": 8.61, "lattice_angstrom": [[5.374, 0.000, 0.000], [0.000, 5.374, 0.000], [-2.687, -2.687, 8.676]], "species": ["Tb", "Tb", "Tb", "Tb", "Pm", "Pm", "Sc"], "frac_coords": [[0.824, 0.824, 0.648], [0.176, 0.176, 0.352], [0.000, 0.500, 0.000], [0.500, 0.000, 0.000], [0.626, 0.626, 0.251], [0.374, 0.374, 0.749], [0.000, 0.000, 0.000]]}


#x
{"formula": "Tb4Pm2Sc", "functional": "PBE", "state": "relaxed", "sg": "C2/m", "dos_ef_per_ev_fu": 11.06, "lattice_angstrom": [[-3.055, 7.314, -1.976], [-6.927, -2.312, 2.071], [1.289, 2.467, 7.064]], "species": ["Tb", "Tb", "Tb", "Tb", "Tb", "Tb", "Tb", "Tb", "Pm", "Pm", "Pm", "Pm", "Sc", "Sc"], "frac_coords": [[0.281, 0.257, 0.240], [0.719, 0.260, 0.243], [0.281, 0.740, 0.757], [0.719, 0.743, 0.760], [0.719, 0.742, 0.242], [0.719, 0.259, 0.759], [0.281, 0.741, 0.241], [0.281, 0.258, 0.758], [0.000, 0.000, 0.000], [0.000, 0.000, 0.500], [0.000, 0.500, 0.500], [0.500, 0.000, 0.500], [0.500, 0.500, 0.000], [0.000, 0.500, 0.000]]}


Tell me which of them is the most stable. Sure, it is #x.


#w
{"formula": "Tb3Pm7Sc", "functional": "PBE", "state": "relaxed", "sg": "P1", "dos_ef_per_ev_fu": 16.43, "lattice_angstrom": [[8.064, -2.942, -1.080], [-5.342, 8.648, -0.655], [-1.081, -1.238, 14.093]], "species": ["Tb", "Tb", "Tb", "Tb", "Tb", "Tb", "Pm", "Pm", "Pm", "Pm", "Pm", "Pm", "Pm", "Pm", "Pm", "Pm", "Pm", "Pm", "Pm", "Pm", "Sc", "Sc"], "frac_coords": [[0.188, 0.733, 0.723], [0.093, 0.027, 0.061], [0.990, 0.982, 0.506], [0.409, 0.761, 0.345], [0.552, 0.194, 0.642], [0.700, 0.240, 0.225], [0.054, 0.699, 0.141], [0.091, 0.024, 0.771], [0.990, 0.323, 0.500], [0.126, 0.402, 0.108], [0.491, 0.826, 0.996], [0.611, 0.889, 0.607], [0.390, 0.517, 0.751], [0.604, 0.535, 0.266], [0.532, 0.174, 0.967], [0.379, 0.110, 0.380], [0.860, 0.594, 0.874], [0.032, 0.672, 0.466], [0.895, 0.026, 0.251], [0.912, 0.258, 0.846], [0.496, 0.490, 0.002], [0.604, 0.526, 0.571]]}


#x
{"formula": "Tb3Pm7Sc", "functional": "PBE", "state": "relaxed", "sg": "C2/m", "dos_ef_per_ev_fu": 14.85, "lattice_angstrom": [[5.811, -0.175, -0.224], [-2.629, 8.031, 1.080], [-2.629, -0.899, 8.053]], "species": ["Tb", "Tb", "Tb", "Pm", "Pm", "Pm", "Pm", "Pm", "Pm", "Pm", "Sc"], "frac_coords": [[0.000, 0.796, 0.204], [0.500, 0.000, 0.000], [0.000, 0.204, 0.796], [0.216, 0.215, 0.215], [0.309, 0.021, 0.598], [0.691, 0.402, 0.979], [0.309, 0.598, 0.021], [0.000, 0.500, 0.500], [0.691, 0.979, 0.402], [0.784, 0.785, 0.785], [0.500, 0.500, 0.500]]}


Tell me which of them is the most stable. Sure, it is #w.


#w
{"formula": "Tb6Pm8Sc", "functional": "PBE", "state": "relaxed", "sg": "P-3", "dos_ef_per_ev_fu": 24.95, "lattice_angstrom": [[5.870, 0.000, 0.000], [0.000, 8.604, -4.967], [0.000, 0.000, 9.935]], "species": ["Tb", "Tb", "Tb", "Tb", "Tb", "Tb", "Pm", "Pm", "Pm", "Pm", "Pm", "Pm", "Pm", "Pm", "Sc"], "frac_coords": [[0.745, 0.621, 0.091], [0.745, 0.909, 0.529], [0.745, 0.471, 0.379], [0.255, 0.379, 0.909], [0.255, 0.091, 0.471], [0.255, 0.529, 0.621], [0.766, 0.052, 0.273], [0.766, 0.727, 0.779], [0.766, 0.221, 0.948], [0.234, 0.948, 0.727], [0.234, 0.273, 0.221], [0.234, 0.779, 0.052], [0.768, 0.333, 0.667], [0.232, 0.667, 0.333], [0.500, 0.000, 0.000]]}


#x
{"formula": "Tb6Pm8Sc", "functional": "PBE", "state": "relaxed", "sg": "R-3", "dos_ef_per_ev_fu": 22.49, "lattice_angstrom": [[-7.700, -3.579, 4.967], [-1.182, -9.724, 0.902], [0.215, -4.359, 6.934]], "species": ["Tb", "Tb", "Tb", "Tb", "Tb", "Tb", "Pm", "Pm", "Pm", "Pm", "Pm", "Pm", "Pm", "Pm", "Sc"], "frac_coords": [[0.382, 0.929, 0.972], [0.071, 0.284, 0.028], [0.284, 0.618, 0.028], [0.716, 0.382, 0.972], [0.929, 0.716, 0.972], [0.618, 0.071, 0.028], [0.350, 0.228, 0.488], [0.772, 0.067, 0.512], [0.067, 0.650, 0.512], [0.589, 0.589, 0.232], [0.411, 0.411, 0.768], [0.933, 0.350, 0.488], [0.228, 0.933, 0.488], [0.650, 0.772, 0.512], [0.000, 0.000, 0.000]]}


Tell me which of them is the most stable. Sure, it is #w.